A relaxed Sc3SnPb crystal. Source: the Alexandria database, functional PBE.

Cell: 5.0791 6.1375 8.2376 Å, 102.98 107.84 90.15°
With the nearest neighbours (Å) after each atom.
Space group P-1 (No. 2)
Symmetry-distinct sites (fractional):
Sc 0.0009 0.2456 0.0003 [2 per cell]  4 Sc 3.01-3.18, 2 Pb 3.18, 2 Sn 3.23-3.32
Sc 0.2057 0.6431 0.4102 [2 per cell]  3 Pb 3.05-3.38, 4 Sn 3.06-3.16, 1 Sc 3.30
Sc 0.3991 0.0026 0.7972 [2 per cell]  2 Sn 2.92, 2 Pb 3.06-3.08, 3 Sc 3.17-3.19
Sn 0.1901 0.1318 0.3816 [2 per cell]  7 Sc 2.92-3.23
Pb 0.4002 0.5029 0.8020 [2 per cell]  7 Sc 3.05-3.38, 1 Pb 3.11

For the formation energy, the calculation gives -425 meV per atom. As for the crystal system: triclinic.